1.
DFT (GGA-PBE) results for an optimized crystal structure of Ac6TlOs2Br3.

Unit cell a=4.373 b=9.783 c=10.938 alpha=107.05 beta=101.53 gamma=90.00
Sites, in units of the cell vectors:
Ac 0.334 0.865 0.668
Ac 0.684 0.564 0.369
Ac 0.666 0.135 0.332
Ac 0.032 0.269 0.064
Ac 0.968 0.731 0.936
Ac 0.316 0.436 0.631
Tl 0.500 0.000 0.000
Os 0.831 0.657 0.662
Os 0.169 0.343 0.338
Br 0.500 0.500 0.000
Br 0.828 0.154 0.655
Br 0.172 0.846 0.345

Results
* space-group type: No. 12
* raw formation energy: -0.769 eV per atom

=====

2.
DFT (GGA-PBE) results for an optimized crystal structure of KMnRe2.

Unit cell a=5.135 b=5.135 c=2.605 alpha=90.00 beta=90.00 gamma=90.00
Sites, in units of the cell vectors:
K 0.500 0.000 0.500
Mn 0.000 0.500 0.500
Re 0.000 0.000 0.000
Re 0.500 0.500 0.000

Results
* space-group type: No. 123
* distance to the lowest polymorph of the same formula: 1108.6 meV per atom
* formation energy from the elements: 1873 meV per atom

=====

3.
DFT (GGA-PBE) results for an optimized crystal structure of CsB2Ru.

Unit cell a=6.425 b=6.425 c=6.435 alpha=60.05 beta=60.05 gamma=90.00
Sites, in units of the cell vectors:
Cs 0.000 0.000 0.000
Cs 0.750 0.250 0.500
Ru 0.500 0.500 0.000
Ru 0.250 0.750 0.500
B 0.375 0.125 0.250
B 0.375 0.625 0.250
B 0.375 0.625 0.750
B 0.875 0.625 0.750

Results
* space-group type: No. 141
* distance to the lowest polymorph of the same formula: 0.0 meV per atom
* formation energy from the elements: 392 meV per atom

=====

4.
DFT (GGA-PBE) results for an optimized crystal structure of CuSb2Pt.

Unit cell a=4.388 b=4.388 c=6.610 alpha=69.30 beta=69.30 gamma=49.31
Sites, in units of the cell vectors:
Cu 0.496 0.496 0.469
Pt 0.253 0.253 0.296
Sb 0.017 0.017 0.091
Sb 0.734 0.734 0.644

Results
* space-group type: No. 8
* raw formation energy: -0.127 eV per atom

=====

Values for magnetic moment, μB per atom, ordered as above
0.000; 0.539; 0.000; 0.000